Entry 1:
Material: BaFe2W
Method: DFT, GGA-PBE
State: relaxed

Properties
* space group: No. 160
* crystal system: trigonal
* total DFT energy (no corrections): -7.3241 eV per atom
* DFT formation energy: 242 kJ/mol of formula units
* spin magnetization: 4.0 μB/f.u.

a = 6.5195 Å, b = 6.5195 Å, c = 6.5195 Å
α = 37.39°, β = 37.39°, γ = 37.39°
Closest atoms and distances in Å follow each position.
Fractional coordinates of all 4 atoms:
Ba  0.0000  0.0000  0.0000  4 W 3.46-3.55, 7 Fe 3.50-3.85
Fe  0.5014  0.5014  0.5014  3 W 2.45, 3 Fe 2.46
Fe  0.8074  0.8074  0.8074  3 Fe 2.46, 3 W 2.58
W  0.1903  0.1903  0.1903  6 Fe 2.45-2.58

Entry 2:
Material: BaFeW2
Method: DFT, GGA-PBE
State: relaxed

Properties
* space group: No. 6
* crystal system: monoclinic
* total DFT energy (no corrections): -8.2895 eV per atom
* DFT formation energy: 302 kJ/mol of formula units
* spin magnetization: 2.5 μB/f.u.

a = 3.2863 Å, b = 3.2806 Å, c = 7.9286 Å
α = 90.00°, β = 90.23°, γ = 90.00°
Closest atoms and distances in Å follow each position.
Fractional coordinates of all 4 atoms:
Ba  0.0000  0.0000  0.0000  4 Ba 3.28-3.29, 4 Fe 3.49-3.50, 4 W 3.58-3.59
Fe  0.5009  0.5000  0.6708  5 W 2.59-2.65
W  0.0010  0.0000  0.5113  4 Fe 2.64-2.65, 4 W 2.67
W  0.5008  0.5000  0.3445  1 Fe 2.59, 4 W 2.67

Table of ρ (kg/m³), in record order: 7846, 10896